A plane-wave DFT calculation with GGA-PBE was carried out for LiAc3Ni after structural relaxation.

Lattice parameters (Å, degrees): 5.773 5.773 5.773 90.00 90.00 90.00
Fractional positions:
Ac 0.500 0.000 0.000
Ac 0.000 0.000 0.500
Ac 0.000 0.500 0.000
Ni 0.000 0.000 0.000
Li 0.500 0.500 0.500

## Properties
The calculation puts the formation energy from the elements at 0.02 eV/atom.

---

A plane-wave DFT calculation with GGA-PBE was carried out for Li2AcNi after structural relaxation.

Lattice parameters (Å, degrees): 4.057 5.610 8.341 90.00 90.00 111.29
Fractional positions:
Li 0.325 0.650 0.941
Li 0.325 0.650 0.559
Li 0.675 0.350 0.441
Li 0.675 0.350 0.059
Ni 0.243 0.486 0.250
Ni 0.757 0.514 0.750
Ac 0.953 0.904 0.250
Ac 0.047 0.096 0.750

## Properties
The excess energy over the best structure of this formula in the dataset is 0 meV per atom. The calculation puts the formation energy from the elements at -0.03 eV/atom.

---

A plane-wave DFT calculation with GGA-PBE was carried out for Li5Ac4Ni2 after structural relaxation.

Lattice parameters (Å, degrees): 3.957 8.146 9.885 94.17 90.00 90.00
Fractional positions:
Li 0.000 0.194 0.152
Li 0.000 0.500 0.000
Li 0.000 0.806 0.848
Li 0.000 0.452 0.689
Li 0.000 0.548 0.311
Ac 0.500 0.220 0.449
Ac 0.500 0.780 0.551
Ac 0.500 0.162 0.840
Ac 0.500 0.838 0.160
Ni 0.000 0.054 0.634
Ni 0.000 0.946 0.366

## Properties
The calculation puts the formation energy from the elements at -0.02 eV/atom.

---

A plane-wave DFT calculation with GGA-PBE was carried out for Li2Ac2Ni15 after structural relaxation.

Lattice parameters (Å, degrees): 6.402 6.402 6.402 83.73 83.73 83.73
Fractional positions:
Li 0.908 0.908 0.908
Li 0.092 0.092 0.092
Ni 0.500 0.000 0.000
Ni 0.708 0.000 0.292
Ni 0.708 0.292 0.000
Ni 0.000 0.708 0.292
Ni 0.339 0.846 0.339
Ni 0.846 0.339 0.339
Ni 0.339 0.339 0.846
Ni 0.661 0.661 0.154
Ni 0.154 0.661 0.661
Ni 0.661 0.154 0.661
Ni 0.292 0.000 0.708
Ni 0.000 0.000 0.500
Ni 0.000 0.500 0.000
Ni 0.000 0.292 0.708
Ni 0.292 0.708 0.000
Ac 0.342 0.342 0.342
Ac 0.658 0.658 0.658

## Properties
The calculation puts the formation energy from the elements at -0.16 eV/atom.